1.
Compound: Ir2Ru3Rh3
Source: the Alexandria database
Functional: PBE
Structure: relaxed

Theoretical density ... 13.946 g/cm3
Space group ... No. 189
Total magnetization ... 0.00 Bohr magnetons per cell
Energy ... -65.19 eV per cell
ΔE to the lowest computed polymorph ... 0.283 eV per atom
Formation energy ... 302 meV per atom

a = 2.7258 Å, b = 7.0891 Å, c = 7.0891 Å
α = 120.00°, β = 90.00°, γ = 90.00°
Fractional positions:
Rh: 0.5000 0.3703 0.9999
Ir: 0.0000 0.6665 0.3333
Ru: 0.0000 0.7453 0.0001
Ru: 0.0000 0.0001 0.7453
Rh: 0.5000 0.6300 0.6300
Ru: 0.0000 0.2545 0.2545
Rh: 0.5000 0.9999 0.3703
Ir: 0.0000 0.3333 0.6665

=====

2.
Compound: Ir5Ru3Rh3
Source: the Alexandria database
Functional: PBE
Structure: relaxed

Theoretical density ... 15.060 g/cm3
Space group ... No. 189
Total magnetization ... 0.00 Bohr magnetons per cell
Energy ... -87.01 eV per cell
Formation energy ... 652 meV per atom

a = 2.7054 Å, b = 8.6039 Å, c = 8.6039 Å
α = 120.00°, β = 90.00°, γ = 90.00°
Fractional positions:
Rh: 0.5000 0.0000 0.8345
Rh: 0.5000 0.1655 0.1655
Ir: 0.5000 0.3333 0.6667
Ir: 0.5000 0.6667 0.3333
Ru: 0.0000 0.0000 0.5852
Ru: 0.0000 0.4148 0.4148
Ir: 0.5000 0.0000 0.3409
Rh: 0.5000 0.8345 0.0000
Ru: 0.0000 0.5852 0.0000
Ir: 0.5000 0.6591 0.6591
Ir: 0.5000 0.3409 0.0000

=====

3.
Compound: IrRu6Rh2
Source: the Alexandria database
Functional: PBE
Structure: relaxed

Theoretical density ... 12.922 g/cm3
Space group ... No. 15
Total magnetization ... 0.00 Bohr magnetons per cell
Energy ... -155.49 eV per cell
Formation energy ... 164 meV per atom

a = 6.7148 Å, b = 7.0122 Å, c = 6.7148 Å
α = 65.12°, β = 85.75°, γ = 65.12°
Fractional positions:
Ru: 0.3318 0.9572 0.5942
Ru: 0.3791 0.3695 0.0727
Rh: 0.4201 0.9352 0.2174
Ru: 0.5942 0.4572 0.3318
Ir: 0.8400 0.7500 0.1600
Ru: 0.1975 0.8086 0.0196
Ru: 0.0196 0.3086 0.1975
Ru: 0.9273 0.1305 0.6209
Ru: 0.9804 0.6914 0.8025
Rh: 0.5799 0.0648 0.7826
Ru: 0.0727 0.8695 0.3791
Ru: 0.6682 0.0428 0.4058
Rh: 0.2174 0.4352 0.4201
Rh: 0.7826 0.5648 0.5799
Ru: 0.6209 0.6305 0.9273
Ru: 0.4058 0.5428 0.6682
Ir: 0.1600 0.2500 0.8400
Ru: 0.8025 0.1914 0.9804